{
  "formula": "ZrBI2",
  "functional": "GGA-PBE",
  "state": "relaxed",
  "lattice": [[6.941, 0.000, 0.000], [0.000, 6.941, 0.000], [3.471, 3.471, 5.270]],
  "species": ["B", "I", "I", "B", "I", "Zr", "Zr", "I"],
  "fractional_positions": [[0.250, 0.750, 0.500], [0.875, 0.858, 0.750], [0.608, 0.125, 0.250], [0.500, 0.500, 0.000], [0.375, 0.392, 0.750], [0.750, 0.250, 0.500], [0.000, 0.000, 0.000], [0.142, 0.625, 0.250]],
  "m_tot_mub_per_fu": 1.981,
  "crystal_system": "tetragonal",
  "relative_energy_ev_per_fu": 1.09,
  "rho_g_cm3": 4.65
}